# 1
Computed, not measured: crystalline LaYC4 at its relaxed geometry at the GGA-PBE level of DFT.

Summary:
* calculated volume: 93 Å³/f.u.
* Fermi-level density of states: 0.321 states/eV per atom
* DFT formation energy: -0.170 eV per atom

a = 7.573 Å, b = 3.794 Å, c = 7.328 Å
α = 90.00°, β = 117.92°, γ = 90.00°
Space group C2/m (No. 12)
Asymmetric unit:
La 0.000 0.000 0.000 [2 per cell]
Y 0.000 0.500 0.500 [2 per cell]
C 0.191 0.000 0.780 [4 per cell]
C 0.203 0.500 0.318 [4 per cell]



# 2
Computed, not measured: crystalline CaSeN2F at its relaxed geometry at the GGA-PBE level of DFT.

Summary:
* calculated volume: 66 Å³/f.u.
* E above lowest polymorph: 0.000 eV/atom
* ΔE_f (raw): -0.1277 eV/atom
* Fermi-level density of states: 0.307 states/eV per atom

a = 3.900 Å, b = 3.900 Å, c = 4.365 Å
α = 90.00°, β = 90.00°, γ = 90.00°
Space group P4/mmm (No. 123)
Asymmetric unit:
Ca 0.000 0.000 0.000 [1 per cell]
Se 0.500 0.500 0.500 [1 per cell]
N 0.000 0.500 0.500 [2 per cell]
F 0.500 0.500 0.000 [1 per cell]



# 3
Computed, not measured: crystalline Rb2NaU3Se8 at its relaxed geometry at the GGA-PBE level of DFT.

Summary:
* calculated volume: 523 Å³/f.u.
* ΔE_f (raw): -1.2090 eV/atom
* Fermi-level density of states: 1.106 states/eV per atom

a = 8.4215 Å, b = 8.4215 Å, c = 25.5521 Å
α = 90.00°, β = 90.00°, γ = 120.00°
Space group R3m (No. 160, hexagonal axes)
Asymmetric unit:
Rb 0.0000 0.0000 0.0000 [3 per cell]
Rb 0.0000 0.0000 0.3534 [3 per cell]
Na 0.0000 0.0000 0.8459 [3 per cell]
U 0.1685 0.3370 0.1878 [9 per cell]
Se 0.0000 0.0000 0.1299 [3 per cell]
Se 0.0000 0.0000 0.5813 [3 per cell]
Se 0.0278 0.5139 0.1273 [9 per cell]
Se 0.1770 0.3539 0.9133 [9 per cell]



# 4
Computed, not measured: crystalline AcLa8Pr4 at its relaxed geometry at the GGA-PBE level of DFT.

Summary:
* calculated volume: 511 Å³/f.u.
* Fermi-level density of states: 1.725 states/eV per atom
* DFT formation energy: 0.339 eV per atom

a = 11.9986 Å, b = 11.9986 Å, c = 12.3014 Å
α = 90.00°, β = 90.00°, γ = 120.00°
Space group R-3m (No. 166, hexagonal axes)
Asymmetric unit:
Ac 0.0000 0.0000 0.0000 [3 per cell]
La 0.0000 0.0000 0.2691 [6 per cell]
La 0.0047 0.5023 0.1677 [18 per cell]
Pr 0.0000 0.0000 0.5000 [3 per cell]
Pr 0.0000 0.5000 0.5000 [9 per cell]



# 5
Computed, not measured: crystalline SbRuRh at its relaxed geometry at the GGA-PBE level of DFT.

Summary:
* calculated volume: 49 Å³/f.u.
* E above lowest polymorph: 0.204 eV/atom
* ΔE_f (raw): 0.1629 eV/atom
* Fermi-level density of states: 1.577 states/eV per atom

a = 3.014 Å, b = 4.012 Å, c = 8.174 Å
α = 90.00°, β = 90.00°, γ = 90.00°
Space group Imm2 (No. 44)
Asymmetric unit:
Sb 0.000 0.000 0.000 [2 per cell]
Ru 0.000 0.000 0.671 [2 per cell]
Rh 0.000 0.000 0.327 [2 per cell]



# 6
Computed, not measured: crystalline In2FeOs at its relaxed geometry at the GGA-PBE level of DFT.

Summary:
* calculated volume: 69 Å³/f.u.
* E above lowest polymorph: 0.202 eV/atom
* Fermi-level density of states: 0.885 states/eV per atom
* DFT formation energy: 0.531 eV per atom

a = 9.098 Å, b = 3.102 Å, c = 5.020 Å
α = 90.00°, β = 102.23°, γ = 90.00°
Space group C2/m (No. 12)
Asymmetric unit:
In 0.249 0.000 0.249 [4 per cell]
Fe 0.000 0.000 0.500 [2 per cell]
Os 0.000 0.500 0.000 [2 per cell]



# 7
Computed, not measured: crystalline Sm9Er4Cd11 at its relaxed geometry at the GGA-PBE level of DFT.

Summary:
* calculated volume: 660 Å³/f.u.
* Fermi-level density of states: 1.058 states/eV per atom
* DFT formation energy: -0.236 eV per atom

a = 15.989 Å, b = 23.225 Å, c = 3.554 Å
α = 90.00°, β = 90.00°, γ = 90.00°
Space group Cmmm (No. 65)
Asymmetric unit:
Sm 0.000 0.000 0.000 [2 per cell]
Sm 0.112 0.239 0.000 [8 per cell]
Sm 0.122 0.414 0.000 [8 per cell]
Er 0.156 0.092 0.000 [8 per cell]
Cd 0.000 0.134 0.500 [4 per cell]
Cd 0.000 0.331 0.500 [4 per cell]
Cd 0.000 0.500 0.500 [2 per cell]
Cd 0.236 0.320 0.500 [8 per cell]
Cd 0.250 0.000 0.500 [4 per cell]



# 8
Computed, not measured: crystalline Pa2IrRu at its relaxed geometry at the GGA-PBE level of DFT.

Summary:
* calculated volume: 79 Å³/f.u.
* E above lowest polymorph: 0.239 eV/atom
* Fermi-level density of states: 1.586 states/eV per atom
* DFT formation energy: -0.440 eV per atom

a = 4.456 Å, b = 4.456 Å, c = 4.003 Å
α = 90.00°, β = 90.00°, γ = 90.00°
Space group P4/mmm (No. 123)
Asymmetric unit:
Pa 0.000 0.500 0.000 [2 per cell]
Ir 0.000 0.000 0.500 [1 per cell]
Ru 0.500 0.500 0.500 [1 per cell]